Compound: Sc2NbOsS
Source: the Alexandria database
Functional: PBEsol
Structure: optimized geometry

Magnetization in μB/cell: 0.00
Formation energy without anion corrections in eV/atom: 0.012
DOS(E_F) in states/eV per atom: 1.138
Space group: No. 123

Unit cell a=4.3205 b=4.6448 c=4.6448 alpha=90.00 beta=90.00 gamma=90.00
Fractional coordinates of all 5 atoms:
S 0.0000 0.0000 0.0000
Os 0.5000 0.0000 0.0000
Sc 0.0000 0.5000 0.0000
Sc 0.0000 0.0000 0.5000
Nb 0.5000 0.5000 0.5000

***

Compound: CsPb2Br5
Source: the Alexandria database
Functional: PBEsol
Structure: optimized geometry

Magnetization in μB/cell: 0.00
Formation energy without anion corrections in eV/atom: -1.139
DOS(E_F) in states/eV per atom: 0.000
Space group: No. 140

Unit cell a=8.3655 b=8.3655 c=9.5972 alpha=115.84 beta=115.84 gamma=90.00
Fractional coordinates of all 16 atoms:
Br 0.9769 0.7800 0.2569
Br 0.2800 0.4769 0.2569
Br 0.7200 0.5231 0.7431
Br 0.7800 0.2800 0.2569
Br 0.5000 0.5000 0.0000
Br 0.5231 0.0231 0.7431
Br 0.0231 0.2200 0.7431
Br 0.0000 0.0000 0.0000
Br 0.4769 0.9769 0.2569
Br 0.2200 0.7200 0.7431
Cs 0.2500 0.2500 0.5000
Cs 0.7500 0.7500 0.5000
Pb 0.3371 0.1629 0.0000
Pb 0.1629 0.6629 0.0000
Pb 0.8371 0.3371 0.0000
Pb 0.6629 0.8371 0.0000

***

Compound: CoMo2Ir
Source: the Alexandria database
Functional: PBEsol
Structure: optimized geometry

Magnetization in μB/cell: 0.00
DOS(E_F) in states/eV per atom: 0.645
Energy of formation from the pure elements in meV per atom: -133
Space group: No. 123

Unit cell a=2.6839 b=2.6839 c=7.5168 alpha=90.00 beta=90.00 gamma=90.00
Fractional coordinates of all 4 atoms:
Mo 0.0000 0.0000 0.7634
Mo 0.0000 0.0000 0.2366
Ir 0.5000 0.5000 0.5000
Co 0.5000 0.5000 0.0000

***

Number 1: DFT total energy -8.11 eV/atom. Number 2: DFT total energy -3.43 eV/atom. Number 3: DFT total energy -10.41 eV/atom.